P) The following is a DFT calculation (GGA-PBE) of a relaxed CaZn2Ir2 crystal.

Properties
SG: I4/mmm

Structure (POSCAR):
```
CaZn2Ir2
1.0
-0.879 -3.425 -1.878
3.285 -1.690 1.544
-1.739 -4.231 4.263
Zn Ir Ca
2 2 1
Direct
0.391 0.391 0.218
0.609 0.609 0.782
0.750 0.250 0.500
0.250 0.750 0.500
0.000 0.000 0.000
```

Q) The following is a DFT calculation (GGA-PBE) of a relaxed CaZn2Ir2 crystal.

Properties
SG: P4/mbm

Structure (POSCAR):
```
CaZn2Ir2
1.0
7.540 0.000 0.000
0.000 7.540 0.000
0.000 0.000 2.924
Zn Ir Ca
4 4 2
Direct
0.163 0.663 0.500
0.663 0.837 0.500
0.837 0.337 0.500
0.337 0.163 0.500
0.367 0.867 0.000
0.867 0.633 0.000
0.633 0.133 0.000
0.133 0.367 0.000
0.000 0.000 0.000
0.500 0.500 0.000
```

Most stable of them? Q).